# 1
The following is a DFT calculation (GGA-PBE) of a relaxed AlIr3Ru crystal.

Its energy relative to the elements is 1.664 eV/atom. Its crystal system is cubic. The total magnetization comes out at 0.00 μB/atom. The distance to the lowest polymorph of the same formula is 0.338 eV per atom.

```
data_AlIr3Ru
_chemical_formula_sum 'Al1 Ir3 Ru1'
_symmetry_space_group_name_H-M 'P 1'
_symmetry_Int_Tables_number 1
_cell_length_a 4.6858
_cell_length_b 4.6858
_cell_length_c 4.6858
_cell_angle_alpha 90.00
_cell_angle_beta 90.00
_cell_angle_gamma 90.00
loop_
_symmetry_equiv_pos_as_xyz
'x,y,z'
loop_
_atom_site_label
_atom_site_type_symbol
_atom_site_fract_x
_atom_site_fract_y
_atom_site_fract_z
Al1 Al 0.0000 0.0000 0.0000
Ir1 Ir 0.0000 0.5000 0.5000
Ir2 Ir 0.5000 0.0000 0.5000
Ir3 Ir 0.5000 0.5000 0.0000
Ru1 Ru 0.5000 0.5000 0.5000
```



# 2
The following is a DFT calculation (GGA-PBE) of a relaxed TbGdLu2 crystal.

Its energy relative to the elements is 0.028 eV/atom. Its crystal system is tetragonal. The total magnetization comes out at 1.80 μB/atom. The distance to the lowest polymorph of the same formula is 0.000 eV per atom.

```
data_TbGdLu2
_chemical_formula_sum 'Tb1 Gd1 Lu2'
_symmetry_space_group_name_H-M 'P 1'
_symmetry_Int_Tables_number 1
_cell_length_a 4.9915
_cell_length_b 4.9915
_cell_length_c 4.9176
_cell_angle_alpha 90.00
_cell_angle_beta 90.00
_cell_angle_gamma 90.00
loop_
_symmetry_equiv_pos_as_xyz
'x,y,z'
loop_
_atom_site_label
_atom_site_type_symbol
_atom_site_fract_x
_atom_site_fract_y
_atom_site_fract_z
Tb1 Tb 0.0000 0.0000 0.0000
Gd1 Gd 0.5000 0.5000 0.0000
Lu1 Lu 0.0000 0.5000 0.5000
Lu2 Lu 0.5000 0.0000 0.5000
```